First-principles (PBE-GGA) data for a relaxed Ba4HfAs4 crystal, as listed in the Alexandria database.

a = 7.2200 Å, b = 9.4928 Å, c = 9.4928 Å
α = 90.00°, β = 90.00°, γ = 90.00°
Last column: nearest neighbours and their distance in Å.
Element x y z (fractional)
Ba 0.3356 0.2753 0.9999  5 As 3.35-3.51, 1 Hf 3.56
Ba 0.8356 0.5001 0.7753  5 As 3.35-3.51, 1 Hf 3.56
Ba 0.3356 0.7247 0.0001  5 As 3.35-3.51, 1 Hf 3.56
Ba 0.1644 0.2247 0.5001  5 As 3.35-3.51, 1 Hf 3.56
Ba 0.6644 0.9999 0.7247  5 As 3.35-3.51, 1 Hf 3.56
Ba 0.1644 0.7753 0.4999  5 As 3.35-3.51, 1 Hf 3.56
Ba 0.8356 0.4999 0.2247  5 As 3.35-3.51, 1 Hf 3.56
Ba 0.6644 0.0001 0.2753  5 As 3.35-3.51, 1 Hf 3.56
Hf 0.0000 0.0000 0.0000  4 As 2.60
Hf 0.5000 0.5000 0.5000  4 As 2.60
As 0.7045 0.7255 0.4999  1 Hf 2.60
As 0.7045 0.2745 0.5001  1 Hf 2.60
As 0.2045 0.9999 0.7745  1 Hf 2.60
As 0.7955 0.2255 0.9999  1 Hf 2.60
As 0.7955 0.7745 0.0001  1 Hf 2.60
As 0.2955 0.4999 0.2745  1 Hf 2.60
As 0.2955 0.5001 0.7255  1 Hf 2.60
As 0.2045 0.0001 0.2255  1 Hf 2.60

Symmetry ... No. 137
Formation enthalpy at 0 K ... -1.1013 eV per atom

First-principles (PBE-GGA) data for a relaxed Ho2AuI8 crystal, as listed in the Alexandria database.

a = 10.6537 Å, b = 9.1082 Å, c = 9.1082 Å
α = 49.72°, β = 74.73°, γ = 74.73°
Last column: nearest neighbours and their distance in Å.
Element x y z (fractional)
Ho 0.6870 0.2223 0.2223  4 I 2.80-2.97
Ho 0.3130 0.7777 0.7777  4 I 2.80-2.97
Au 0.0000 0.0000 0.0000  4 I 2.78
I 0.1392 0.1489 0.6348  1 Au 2.78, 1 Ho 2.97
I 0.1392 0.6348 0.1489  1 Au 2.78, 1 Ho 2.97
I 0.8608 0.8511 0.3652  1 Au 2.78, 1 Ho 2.97
I 0.2782 0.6160 0.6160  1 Ho 2.80
I 0.8608 0.3652 0.8511  1 Au 2.78, 1 Ho 2.97
I 0.4228 0.2083 0.2083  1 Ho 2.89
I 0.5772 0.7917 0.7917  1 Ho 2.89
I 0.7218 0.3840 0.3840  1 Ho 2.80

Symmetry ... No. 12
Uncorrected formation energy ... -9.528 eV per formula unit

Number 1: mass density 5.24 g/cm3, uncorrected energy -5.1283 eV/atom. Number 2: mass density 3.97 g/cm3, uncorrected energy -3.1238 eV/atom.